Record 1
# La2HgRuN | Alexandria | PBE | relaxed
# Crystal system   tetragonal
# Calculated total energy   -31.1 eV per cell
# Raw formation energy   -674 meV per atom
# Density   8.83 g/cm³
data_La2HgRuN
_chemical_formula_sum 'La2 Hg1 Ru1 N1'
_symmetry_space_group_name_H-M 'P 4/m m m'
_symmetry_Int_Tables_number 123
_symmetry_space_group_name_Hall '-P 4 2'
_cell_length_a 5.350
_cell_length_b 5.350
_cell_length_c 3.900
_cell_angle_alpha 90.00
_cell_angle_beta 90.00
_cell_angle_gamma 90.00
loop_
_atom_site_label
_atom_site_fract_x
_atom_site_fract_y
_atom_site_fract_z
_atom_site_occupancy
La1 0.000 0.500 0.000 1
Hg1 0.000 0.000 0.500 1
Ru1 0.500 0.500 0.500 1
N1 0.500 0.500 0.000 1

***

Record 2
# La6Hg2RuN | Alexandria | PBE | relaxed
# Crystal system   orthorhombic
# Calculated total energy   -104.3 eV per cell
# Raw formation energy   -439 meV per atom
# Density   7.41 g/cm³
data_La6Hg2RuN
_chemical_formula_sum 'La12 Hg4 Ru2 N2'
_symmetry_space_group_name_H-M 'P m m n'
_symmetry_Int_Tables_number 59
_cell_length_a 7.524
_cell_length_b 10.650
_cell_length_c 7.549
_cell_angle_alpha 90.00
_cell_angle_beta 90.00
_cell_angle_gamma 90.00
loop_
_symmetry_equiv_pos_as_xyz
'x,y,z'
'-x,-y,-z'
'-x+1/2,-y+1/2,z'
'x+1/2,y+1/2,-z'
'x+1/2,-y,-z'
'-x+1/2,y,z'
'-x,y+1/2,-z'
'x,-y+1/2,z'
loop_
_atom_site_label
_atom_site_fract_x
_atom_site_fract_y
_atom_site_fract_z
_atom_site_occupancy
La1 0.004 0.250 0.022 1
La2 0.021 0.250 0.504 1
La3 0.250 0.011 0.266 1
Hg1 0.250 0.503 0.743 1
Ru1 0.250 0.750 0.261 1
N1 0.250 0.250 0.231 1